(1)
Here is crystalline TaVIN2 at its relaxed geometry from the Alexandria database. Energies are from PBE-GGA.

Cell: 3.9070 3.9070 5.2079 Å, 90.00 90.00 90.00°
Sites, in units of the cell vectors:
Ta 0.0000 0.0000 0.0000
V 0.5000 0.5000 0.5000
I 0.5000 0.5000 0.0000
N 0.0000 0.5000 0.5000
N 0.5000 0.0000 0.5000

formation energy without anion corrections	1.18	eV per atom
crystal system	tetragonal
SG	No. 123
energy above the lowest structure with this stoichiometry	604.4	meV per atom

(2)
Here is crystalline NaNpS3 at its relaxed geometry from the Alexandria database. Energies are from PBE-GGA.

Cell: 5.1365 5.1365 5.1365 Å, 90.00 90.00 90.00°
Sites, in units of the cell vectors:
Na 0.0000 0.0000 0.0000
Np 0.5000 0.5000 0.5000
S 0.0000 0.5000 0.5000
S 0.5000 0.0000 0.5000
S 0.5000 0.5000 0.0000

formation energy without anion corrections	-1.04	eV per atom
crystal system	cubic
SG	No. 221
energy above the lowest structure with this stoichiometry	38.9	meV per atom

(3)
Here is crystalline BC2 at its relaxed geometry from the Alexandria database. Energies are from PBE-GGA.

Cell: 4.7194 2.5288 6.3463 Å, 90.00 92.39 90.00°
Sites, in units of the cell vectors:
B 0.0499 0.2500 0.2928
B 0.1134 0.2500 0.0006
B 0.8866 0.7500 0.9994
B 0.9501 0.7500 0.7072
C 0.2588 0.7500 0.3815
C 0.2720 0.7500 0.6224
C 0.4302 0.2500 0.9510
C 0.4406 0.2500 0.7064
C 0.5594 0.7500 0.2936
C 0.5698 0.7500 0.0490
C 0.7280 0.2500 0.3776
C 0.7412 0.2500 0.6185

E_form	8.428	kcal/mol of atoms
crystal system	monoclinic
SG	No. 11
energy above the lowest structure with this stoichiometry	125.5	meV per atom